[1]
This record from Alexandria describes a crystal of CdFe2Te relaxed with PBEsol. The functional is SCAN.

Values from the calculation:
E_form (uncorrected), eV per atom: 0.515
Space group: R-3m (166)
Polymorph energy (0 for the lowest one), meV per atom: 302.9

abc: 3.0704 3.0704 8.2697
angles: 79.30 79.30 60.00
Closest atoms and distances in Å follow each position.
Fractional coordinates of all 4 atoms:
Te1 0.5000 0.5000 0.5000  6 Fe 2.62
Fe1 0.2461 0.2461 0.2616  3 Te 2.62, 3 Cd 2.76
Cd1 0.0000 0.0000 0.0000  6 Fe 2.76, 6 Cd 3.07
Fe2 0.7539 0.7539 0.7384  3 Te 2.62, 3 Cd 2.76

=====

[2]
This record from Alexandria describes a crystal of CdFe2Te relaxed with PBEsol. The functional is SCAN.

Values from the calculation:
E_form (uncorrected), eV per atom: 0.212
Space group: P4mm (99)
Polymorph energy (0 for the lowest one), meV per atom: 0.0

abc: 3.1063 3.1063 7.2990
angles: 90.00 90.00 90.00
Closest atoms and distances in Å follow each position.
Fractional coordinates of all 4 atoms:
Te1 0.0000 0.0000 0.4155  5 Fe 2.65-2.68
Fe1 0.5000 0.5000 0.2120  4 Fe 2.50, 4 Te 2.65
Cd1 0.5000 0.5000 0.8241  5 Fe 2.74-2.83
Fe2 0.0000 0.0000 0.0484  4 Fe 2.50, 1 Te 2.68, 4 Cd 2.74

=====

[3]
This record from Alexandria describes a crystal of CdFe2Te relaxed with PBEsol. The functional is SCAN.

Values from the calculation:
E_form (uncorrected), eV per atom: 0.333
Space group: Imm2 (44)
Polymorph energy (0 for the lowest one), meV per atom: 121.1

abc: 2.9606 4.4191 6.0059
angles: 111.59 104.27 90.00
Closest atoms and distances in Å follow each position.
Fractional coordinates of all 4 atoms:
Te1 0.4521 0.4521 0.9042  6 Fe 2.67-2.96, 2 Te 2.96
Fe1 0.7457 0.2457 0.4913  2 Fe 2.38, 4 Cd 2.67
Cd1 0.2298 0.7298 0.4597  6 Fe 2.67-2.78, 2 Cd 2.96
Fe2 0.0724 0.0724 0.1449  2 Fe 2.38

=====

[4]
This record from Alexandria describes a crystal of TiCdFe3 relaxed with PBEsol. The functional is SCAN.

Values from the calculation:
Energy of formation, eV/atom: 1.402
Space group: Pm-3m (221)

abc: 4.6206 4.6206 4.6206
angles: 90.00 90.00 90.00
Closest atoms and distances in Å follow each position.
Fractional coordinates of all 5 atoms:
Fe1 0.0000 0.0000 0.5000  2 Cd 2.31
Fe2 0.5000 0.0000 0.0000  2 Cd 2.31
Ti1 0.5000 0.5000 0.5000  12 Fe 3.27
Fe3 0.0000 0.5000 0.0000  2 Cd 2.31
Cd1 0.0000 0.0000 0.0000  6 Fe 2.31

=====

[5]
This record from Alexandria describes a crystal of TlCdFe relaxed with PBEsol. The functional is SCAN.

Values from the calculation:
Energy of formation, eV/atom: 0.659
Space group: F-43m (216)
Polymorph energy (0 for the lowest one), meV per atom: 0.0

abc: 4.5259 4.5259 4.5259
angles: 60.00 60.00 60.00
Closest atoms and distances in Å follow each position.
Fractional coordinates of all 3 atoms:
Fe1 0.5000 0.5000 0.5000  4 Tl 2.77
Cd1 0.0000 0.0000 0.0000  4 Tl 2.77
Tl1 0.2500 0.2500 0.2500  4 Fe 2.77, 4 Cd 2.77

=====

[6]
This record from Alexandria describes a crystal of Tl2CdFe relaxed with PBEsol. The functional is SCAN.

Values from the calculation:
Energy of formation, eV/atom: 0.478
Space group: Pmmm (47)

abc: 3.1052 5.0096 5.5340
angles: 90.00 90.00 90.00
Closest atoms and distances in Å follow each position.
Fractional coordinates of all 4 atoms:
Tl1 0.5000 0.0000 0.5000  4 Fe 2.95, 6 Tl 3.11-3.17
Fe1 0.0000 0.5000 0.5000  4 Tl 2.95, 2 Fe 3.11, 4 Cd 3.17
Cd1 0.5000 0.5000 0.0000  4 Tl 2.95, 2 Cd 3.11, 4 Fe 3.17
Tl2 0.0000 0.0000 0.0000  4 Cd 2.95, 6 Tl 3.11-3.17

=====

[7]
This record from Alexandria describes a crystal of Cd2FeW relaxed with PBEsol. The functional is SCAN.

Values from the calculation:
Energy of formation, eV/atom: 0.526
Space group: R-3m (166)
Polymorph energy (0 for the lowest one), meV per atom: 0.0

abc: 2.8187 2.8187 9.6406
angles: 81.59 81.59 60.00
Closest atoms and distances in Å follow each position.
Fractional coordinates of all 4 atoms:
Cd1 0.7540 0.7540 0.7379  3 Fe 2.79, 6 Cd 2.82, 3 W 2.97
W1 0.0000 0.0000 0.0000  6 W 2.82, 6 Cd 2.97
Fe1 0.5000 0.5000 0.5000  6 Cd 2.79, 6 Fe 2.82
Cd2 0.2460 0.2460 0.2621  3 Fe 2.79, 6 Cd 2.82, 3 W 2.97

=====

[8]
This record from Alexandria describes a crystal of Cd2FeW relaxed with PBEsol. The functional is SCAN.

Values from the calculation:
Energy of formation, eV/atom: 0.540
Space group: Cmmm (65)
Polymorph energy (0 for the lowest one), meV per atom: 13.7

abc: 2.7016 5.1720 5.1720
angles: 115.30 90.00 90.00
Closest atoms and distances in Å follow each position.
Fractional coordinates of all 4 atoms:
W1 0.5000 0.5000 0.5000  2 W 2.70, 2 Fe 2.77, 8 Cd 2.92
Cd1 0.0000 0.0000 0.5000  4 Cd 2.70-2.77, 4 W 2.92, 4 Fe 2.92
Cd2 0.0000 0.5000 0.0000  4 Cd 2.70-2.77, 4 Fe 2.92, 4 W 2.92
Fe1 0.5000 0.0000 0.0000  2 Fe 2.70, 2 W 2.77, 8 Cd 2.92